Computed, not measured: AsIrPb after structural relaxation at the PBE level of DFT.

final energy	-5.83	eV/atom
spin magnetization	0.0	μB per cell
ΔH_f (0 K)	-26	kJ/mol of formula units
crystal system	cubic
ΔE to the lowest computed polymorph	0.000	eV/f.u.

Cell and atoms, written as POSCAR:
```
AsIrPb
1.0
6.412 0.000 0.000
0.000 6.412 0.000
0.000 0.000 6.412
As Ir Pb
4 4 4
Cartesian
0.867 0.867 0.867 As
2.339 5.544 4.073 As
4.073 2.339 5.544 As
5.544 4.073 2.339 As
0.295 6.116 2.911 Ir
2.911 0.295 6.116 Ir
3.501 3.501 3.501 Ir
6.116 2.911 0.295 Ir
0.985 2.221 4.191 Pb
2.221 4.191 0.985 Pb
4.191 0.985 2.221 Pb
5.427 5.427 5.427 Pb
```

Computed, not measured: AsIrPb2 after structural relaxation at the PBE level of DFT.

final energy	-5.18	eV/atom
spin magnetization	0.0	μB per cell
ΔH_f (0 K)	21	kJ/mol of formula units
crystal system	orthorhombic
ΔE to the lowest computed polymorph	0.418	eV/f.u.

Cell and atoms, written as POSCAR:
```
AsIrPb2
1.0
4.459 0.000 0.000
0.000 2.658 4.271
0.000 -2.658 4.271
As Ir Pb
1 1 2
Cartesian
0.000 0.000 0.000 As
2.230 0.000 1.030 Ir
0.000 0.000 2.983 Pb
2.230 0.000 6.336 Pb
```

Computed, not measured: AsIrPb2 after structural relaxation at the PBE level of DFT.

final energy	-5.20	eV/atom
spin magnetization	0.0	μB per cell
ΔH_f (0 K)	11	kJ/mol of formula units
crystal system	trigonal
ΔE to the lowest computed polymorph	0.310	eV/f.u.

Cell and atoms, written as POSCAR:
```
AsIrPb2
1.0
1.776 1.026 9.251
-1.776 1.026 9.251
0.000 -2.051 9.251
As Ir Pb
1 1 2
Cartesian
0.000 0.000 0.000 As
0.000 0.000 19.731 Ir
0.000 0.000 6.404 Pb
0.000 0.000 12.660 Pb
```

Computed, not measured: AsIrPb2 after structural relaxation at the PBE level of DFT.

final energy	-4.78	eV/atom
spin magnetization	0.0	μB per cell
ΔH_f (0 K)	175	kJ/mol of formula units
crystal system	trigonal
ΔE to the lowest computed polymorph	2.012	eV/f.u.

Cell and atoms, written as POSCAR:
```
AsIrPb2
1.0
1.663 0.960 9.651
-1.663 0.960 9.651
0.000 -1.921 9.651
As Ir Pb
1 1 2
Cartesian
0.000 0.000 0.000 As
0.000 0.000 14.477 Ir
0.000 0.000 6.962 Pb
0.000 0.000 21.992 Pb
```

Computed, not measured: As4IrPb after structural relaxation at the PBE level of DFT.

final energy	-4.47	eV/atom
spin magnetization	0.0	μB per cell
ΔH_f (0 K)	419	kJ/mol of formula units
crystal system	cubic

Cell and atoms, written as POSCAR:
```
As4IrPb
1.0
0.000 3.951 3.951
3.951 0.000 3.951
3.951 3.951 0.000
As Ir Pb
4 1 1
Cartesian
2.974 2.974 2.974 As
4.928 4.928 2.974 As
4.928 2.974 4.928 As
2.974 4.928 4.928 As
0.000 0.000 0.000 Ir
5.926 5.926 5.926 Pb
```

Computed, not measured: AsIrPb2 after structural relaxation at the PBE level of DFT.

final energy	-4.72	eV/atom
spin magnetization	0.0	μB per cell
ΔH_f (0 K)	198	kJ/mol of formula units
crystal system	cubic
ΔE to the lowest computed polymorph	2.250	eV/f.u.

Cell and atoms, written as POSCAR:
```
AsIrPb2
1.0
0.000 3.547 3.547
3.547 0.000 3.547
3.547 3.547 0.000
As Ir Pb
1 1 2
Cartesian
0.000 0.000 0.000 As
3.547 3.547 3.547 Ir
1.773 1.773 1.773 Pb
5.320 5.320 5.320 Pb
```

Computed, not measured: AsIrPb2 after structural relaxation at the PBE level of DFT.

final energy	-5.14	eV/atom
spin magnetization	0.0	μB per cell
ΔH_f (0 K)	34	kJ/mol of formula units
crystal system	orthorhombic
ΔE to the lowest computed polymorph	0.551	eV/f.u.

Cell and atoms, written as POSCAR:
```
AsIrPb2
1.0
3.348 0.000 0.000
0.000 3.415 0.000
0.000 0.000 8.181
As Ir Pb
1 1 2
Cartesian
0.000 0.000 0.000 As
1.674 1.707 0.966 Ir
0.000 0.000 3.077 Pb
1.674 1.707 5.964 Pb
```

Computed, not measured: AsIrPd2Pb after structural relaxation at the PBE level of DFT.

final energy	-5.32	eV/atom
spin magnetization	0.0	μB per cell
ΔH_f (0 K)	95	kJ/mol of formula units
crystal system	tetragonal

Cell and atoms, written as POSCAR:
```
AsIrPd2Pb
1.0
4.750 0.000 0.000
0.000 4.750 0.000
0.000 0.000 4.648
As Ir Pd Pb
1 1 2 1
Cartesian
0.000 0.000 0.000 As
0.000 0.000 2.324 Ir
0.000 2.375 0.000 Pd
2.375 0.000 0.000 Pd
2.375 2.375 2.324 Pb
```

Computed, not measured: V2AsIrPb after structural relaxation at the PBE level of DFT.

final energy	-6.44	eV/atom
spin magnetization	5.1	μB per cell
ΔH_f (0 K)	316	kJ/mol of formula units
crystal system	tetragonal

Cell and atoms, written as POSCAR:
```
V2AsIrPb
1.0
4.924 0.000 0.000
0.000 4.924 0.000
0.000 0.000 4.650
V As Ir Pb
2 1 1 1
Cartesian
0.000 2.462 0.000 V
2.462 0.000 0.000 V
0.000 0.000 2.325 As
0.000 0.000 0.000 Ir
2.462 2.462 2.325 Pb
```

Computed, not measured: ZnAsIr2Pb after structural relaxation at the PBE level of DFT.

final energy	-4.48	eV/atom
spin magnetization	0.0	μB per cell
ΔH_f (0 K)	479	kJ/mol of formula units
crystal system	tetragonal

Cell and atoms, written as POSCAR:
```
ZnAsIr2Pb
1.0
4.749 0.000 0.000
0.000 4.749 0.000
0.000 0.000 4.584
Zn As Ir Pb
1 1 2 1
Cartesian
0.000 0.000 0.000 Zn
0.000 0.000 2.292 As
0.000 2.375 0.000 Ir
2.375 0.000 0.000 Ir
2.375 2.375 2.292 Pb
```

Computed, not measured: AsIr2Pd2 after structural relaxation at the PBE level of DFT.

final energy	-6.41	eV/atom
spin magnetization	0.0	μB per cell
ΔH_f (0 K)	70	kJ/mol of formula units
crystal system	tetragonal
ΔE to the lowest computed polymorph	0.000	eV/f.u.

Cell and atoms, written as POSCAR:
```
AsIr2Pd2
1.0
6.233 0.000 0.000
0.000 6.233 0.000
0.000 0.000 4.223
As Ir Pd
2 4 4
Cartesian
0.000 0.000 0.000 As
3.117 3.117 0.000 As
0.889 2.228 0.000 Ir
2.228 5.345 0.000 Ir
4.005 0.889 0.000 Ir
5.345 4.005 0.000 Ir
1.051 4.168 2.112 Pd
2.066 1.051 2.112 Pd
4.168 5.183 2.112 Pd
5.183 2.066 2.112 Pd
```

Computed, not measured: AsIr2Pd2 after structural relaxation at the PBE level of DFT.

final energy	-6.14	eV/atom
spin magnetization	0.0	μB per cell
ΔH_f (0 K)	197	kJ/mol of formula units
crystal system	tetragonal
ΔE to the lowest computed polymorph	1.315	eV/f.u.

Cell and atoms, written as POSCAR:
```
AsIr2Pd2
1.0
-1.768 1.768 6.948
1.768 -1.768 6.948
1.768 1.768 -6.948
As Ir Pd
1 2 2
Cartesian
0.000 0.000 0.000 As
1.768 0.000 3.474 Ir
0.000 1.768 3.474 Ir
0.000 0.000 5.602 Pd
0.000 0.000 8.294 Pd
```